Record 1
Here is a relaxed structure of SrTeMoN2 from Alexandria via LeMat-Bulk. Energies are from PBE.

Lattice parameters (Å, degrees): 4.280 4.280 6.167 90.00 90.00 90.00
Element x y z (fractional)
Sr  0.000  0.000  0.000
Te  0.000  0.000  0.500
Mo  0.500  0.500  0.500
N  0.000  0.500  0.000
N  0.500  0.000  0.000

Calculated values
Theoretical density (g/cm³): 4.99
Magnetization (μB per formula unit): 0.000
E above lowest polymorph (kcal/mol of atoms): 51.83


Record 2
Here is a relaxed structure of SrThMoN3 from Alexandria via LeMat-Bulk. Energies are from PBE.

Lattice parameters (Å, degrees): 6.818 3.632 9.211 90.00 98.34 90.00
Element x y z (fractional)
Sr  0.228  0.250  0.234
Sr  0.772  0.750  0.766
Th  0.191  0.250  0.624
Th  0.809  0.750  0.376
Mo  0.378  0.750  0.922
Mo  0.622  0.250  0.078
N  0.139  0.750  0.788
N  0.161  0.750  0.444
N  0.488  0.250  0.854
N  0.512  0.750  0.146
N  0.839  0.250  0.556
N  0.861  0.250  0.212

Calculated values
Calculated total energy (eV per cell): -100.79
Theoretical density (g/cm³): 6.73
Magnetization (μB per formula unit): 0.000


Record 3
Here is a relaxed structure of SrThMoN4 from Alexandria via LeMat-Bulk. Energies are from PBE.

Lattice parameters (Å, degrees): 6.182 5.940 7.202 90.00 105.34 90.00
Element x y z (fractional)
Sr  0.198  0.250  0.412
Sr  0.802  0.750  0.588
Th  0.294  0.250  0.942
Th  0.706  0.750  0.058
Mo  0.240  0.750  0.179
Mo  0.760  0.250  0.821
N  0.037  0.750  0.333
N  0.049  0.750  0.936
N  0.442  0.507  0.200
N  0.442  0.993  0.200
N  0.558  0.007  0.800
N  0.558  0.493  0.800
N  0.951  0.250  0.064
N  0.963  0.250  0.667

Calculated values
Calculated total energy (eV per cell): -120.39
Theoretical density (g/cm³): 6.14
Magnetization (μB per formula unit): 0.000


Record 4
Here is a relaxed structure of Sr4Th3MoN8 from Alexandria via LeMat-Bulk. Energies are from PBE.

Lattice parameters (Å, degrees): 7.306 7.306 7.306 58.94 58.94 58.94
Element x y z (fractional)
Sr  0.000  0.000  0.000
Sr  0.000  0.500  0.500
Sr  0.500  0.000  0.500
Sr  0.500  0.500  0.000
Th  0.000  0.000  0.500
Th  0.000  0.500  0.000
Th  0.500  0.000  0.000
Mo  0.500  0.500  0.500
N  0.237  0.237  0.237
N  0.261  0.720  0.720
N  0.280  0.280  0.739
N  0.280  0.739  0.280
N  0.720  0.261  0.720
N  0.720  0.720  0.261
N  0.739  0.280  0.280
N  0.763  0.763  0.763

Calculated values
Calculated total energy (eV per cell): -122.97
Theoretical density (g/cm³): 7.74
Magnetization (μB per formula unit): 0.000


magnetization of number 2 (SrThMoN3)? 0.000 μB per formula unit